Run A
DFT (PBE-GGA) results for crystalline Al2TlTe4 at its relaxed geometry.

The crystal system is tetragonal. For the total magnetization, the calculation gives 0.0 μB/f.u.

The space group is P-42m (No. 111) and the conventional cell measures 6.033, 6.033 and 7.186 Å, with angles of 90.00, 90.00 and 90.00 degrees. The distinct sites, in fractional coordinates, are Al at (0.000, 0.500, 0.000), Tl at (0.000, 0.000, 0.500) and Te at (0.279, 0.279, 0.778).

=====

Run B
DFT (PBE-GGA) results for crystalline Al2TlTe4 at its relaxed geometry.

The crystal system is orthorhombic. For the total magnetization, the calculation gives 0.0 μB/f.u.

The space group is Cccm (No. 66) and the conventional cell measures 6.725, 12.110 and 11.975 Å, with angles of 90.00, 90.00 and 90.00 degrees. The distinct sites, in fractional coordinates, are Al at (0.000, 0.248, 0.000), Tl at (0.000, 0.500, 0.250), Te at (0.247, 0.420, 0.000) and Te at (0.250, 0.250, 0.329).

=====

run B comes first in stability; the runner-up is 22 meV per atom higher.